{"formula": "RhN2O2", "functional": "PBE-GGA", "state": "relaxed", "de_polymorph_mev_per_atom": 1913, "space_group": "No. 123", "lattice": [[-1.0171, 2.9184, -2.2055], [-1.7246, -2.4013, -2.3822], [-3.5566, 0.4009, 2.1707]], "species": ["N", "N", "Rh", "O", "O"], "fractional_positions": [[0.0000, 0.0000, 0.5000], [0.5000, 0.5000, 0.5000], [0.0000, 0.0000, 0.0000], [0.0000, 0.5000, 0.0000], [0.5000, 0.0000, 0.0000]]}


{"formula": "RhN2O2", "functional": "PBE-GGA", "state": "relaxed", "de_polymorph_mev_per_atom": 2011, "space_group": "No. 123", "lattice": [[3.9303, 0.0000, 0.0000], [0.0000, 3.9303, 0.0000], [0.0000, 0.0000, 3.8230]], "species": ["O", "O", "N", "N", "Rh"], "fractional_positions": [[0.0000, 0.0000, 0.5000], [0.5000, 0.5000, 0.5000], [0.5000, 0.0000, 0.0000], [0.0000, 0.5000, 0.0000], [0.0000, 0.0000, 0.0000]]}


{"formula": "RhN2O2", "functional": "PBE-GGA", "state": "relaxed", "de_polymorph_mev_per_atom": 2482, "space_group": "No. 123", "lattice": [[-3.2243, -0.8645, 1.3030], [1.4851, -2.6278, 1.9313], [0.4733, 2.2020, 2.6322]], "species": ["O", "O", "Rh", "N", "N"], "fractional_positions": [[0.0000, 0.0000, 0.5000], [0.0000, 0.0000, 0.0000], [0.5000, 0.5000, 0.5000], [0.5000, 0.0000, 0.0000], [0.0000, 0.5000, 0.0000]]}


{"formula": "RuRhN2O", "functional": "PBE-GGA", "state": "relaxed", "space_group": "No. 123", "lattice": [[-1.8951, -1.4918, -2.9848], [2.9478, -2.3570, -0.6936], [-1.6131, -2.7186, 2.3830]], "species": ["N", "N", "Ru", "O", "Rh"], "fractional_positions": [[0.0000, 0.5000, 0.0000], [0.5000, 0.0000, 0.0000], [0.5000, 0.5000, 0.5000], [0.0000, 0.0000, 0.5000], [0.0000, 0.0000, 0.0000]]}


{"formula": "RuRhN2O", "functional": "PBE-GGA", "state": "relaxed", "space_group": "No. 123", "lattice": [[-3.1510, -1.4326, 1.6605], [1.3406, -3.5587, -0.5263], [1.7576, 0.1498, 3.4644]], "species": ["Rh", "N", "N", "O", "Ru"], "fractional_positions": [[0.5000, 0.5000, 0.5000], [0.5000, 0.0000, 0.0000], [0.0000, 0.5000, 0.0000], [0.0000, 0.0000, 0.5000], [0.0000, 0.0000, 0.0000]]}


{"formula": "RhSNO2", "functional": "PBE-GGA", "state": "relaxed", "space_group": "No. 123", "lattice": [[3.3210, 0.0000, 0.0000], [0.0000, 3.3210, 0.0000], [0.0000, 0.0000, 4.8447]], "species": ["S", "N", "O", "O", "Rh"], "fractional_positions": [[0.0000, 0.0000, 0.0000], [0.0000, 0.0000, 0.5000], [0.5000, 0.0000, 0.0000], [0.0000, 0.5000, 0.0000], [0.5000, 0.5000, 0.5000]]}


{"formula": "RhS2NO", "functional": "PBE-GGA", "state": "relaxed", "de_polymorph_mev_per_atom": 15, "space_group": "No. 123", "lattice": [[4.7704, 0.0000, 0.0000], [0.0000, 4.7704, 0.0000], [0.0000, 0.0000, 3.6163]], "species": ["Rh", "S", "S", "O", "N"], "fractional_positions": [[0.0000, 0.0000, 0.0000], [0.0000, 0.5000, 0.0000], [0.5000, 0.0000, 0.0000], [0.5000, 0.5000, 0.5000], [0.0000, 0.0000, 0.5000]]}


{"formula": "RhSN2O", "functional": "PBE-GGA", "state": "relaxed", "space_group": "No. 123", "lattice": [[3.7266, 0.0000, 0.0000], [0.0000, 3.7266, 0.0000], [0.0000, 0.0000, 3.7349]], "species": ["Rh", "N", "N", "S", "O"], "fractional_positions": [[0.5000, 0.5000, 0.5000], [0.5000, 0.0000, 0.0000], [0.0000, 0.5000, 0.0000], [0.0000, 0.0000, 0.5000], [0.0000, 0.0000, 0.0000]]}


{"formula": "RhSN2O", "functional": "PBE-GGA", "state": "relaxed", "space_group": "No. 123", "lattice": [[3.7619, 0.0000, 0.0000], [0.0000, 3.7619, 0.0000], [0.0000, 0.0000, 3.3246]], "species": ["N", "N", "Rh", "S", "O"], "fractional_positions": [[0.0000, 0.5000, 0.0000], [0.5000, 0.0000, 0.0000], [0.5000, 0.5000, 0.5000], [0.0000, 0.0000, 0.0000], [0.0000, 0.0000, 0.5000]]}


{"formula": "RhSNO2", "functional": "PBE-GGA", "state": "relaxed", "space_group": "No. 123", "lattice": [[3.8799, 0.0000, 0.0000], [0.0000, 3.8799, 0.0000], [0.0000, 0.0000, 3.8796]], "species": ["N", "O", "O", "S", "Rh"], "fractional_positions": [[0.0000, 0.0000, 0.5000], [0.0000, 0.5000, 0.0000], [0.5000, 0.0000, 0.0000], [0.5000, 0.5000, 0.5000], [0.0000, 0.0000, 0.0000]]}


{"formula": "RhSN2O", "functional": "PBE-GGA", "state": "relaxed", "space_group": "No. 123", "lattice": [[3.6654, 0.0000, 0.0000], [0.0000, 3.6654, 0.0000], [0.0000, 0.0000, 5.2080]], "species": ["Rh", "N", "N", "S", "O"], "fractional_positions": [[0.0000, 0.0000, 0.0000], [0.0000, 0.5000, 0.0000], [0.5000, 0.0000, 0.0000], [0.0000, 0.0000, 0.5000], [0.5000, 0.5000, 0.5000]]}


{"formula": "RhS2NO", "functional": "PBE-GGA", "state": "relaxed", "de_polymorph_mev_per_atom": 0, "space_group": "No. 123", "lattice": [[4.8012, 0.0000, 0.0000], [0.0000, 4.8012, 0.0000], [0.0000, 0.0000, 3.6982]], "species": ["S", "S", "O", "Rh", "N"], "fractional_positions": [[0.0000, 0.5000, 0.0000], [0.5000, 0.0000, 0.0000], [0.0000, 0.0000, 0.5000], [0.0000, 0.0000, 0.0000], [0.5000, 0.5000, 0.5000]]}


no.,total magnetization (Bohr magnetons per cell),total DFT energy (no corrections) (eV per atom),E_form (uncorrected) (eV per atom)
1,0.41,-5.19,1.5931
2,1.26,-5.09,1.6905
3,0.00,-4.62,2.1620
4,2.36,-6.27,1.3726
5,1.06,-6.64,1.0089
6,1.10,-4.99,0.9554
7,0.73,-4.48,1.2944
8,0.00,-4.59,2.0230
9,0.00,-5.14,1.4811
10,0.00,-5.09,0.8509
11,0.29,-5.06,1.5528
12,0.51,-4.50,1.2797